[1]
VASP calculation (GGA-PBE) on crystalline K2HfMoRh at its relaxed geometry.

a = 6.186 Å, b = 4.617 Å, c = 6.186 Å
α = 90.00°, β = 90.00°, γ = 90.00°
Site moments in Bohr magnetons follow the coordinates.
Fractional positions:
Rh 0.000 0.500 0.000  0.11
Hf 0.500 0.500 0.500  -1.11
K 0.000 0.000 0.500  0.01
Mo 0.000 0.000 0.000  2.21
K 0.500 0.000 0.000  0.01

Total magnetic moment, μB per formula unit: 0.8
Final energy, eV for the cell shown: -20.834
Space-group type: P4/mmm (123)
Energy of formation, eV/f.u.: 9.50

[2]
VASP calculation (GGA-PBE) on crystalline KHfSbMo2 at its relaxed geometry.

a = 4.619 Å, b = 4.898 Å, c = 4.619 Å
α = 90.00°, β = 90.00°, γ = 90.00°
Fractional positions:
Mo 0.500 0.000 0.000
Hf 0.000 0.500 0.000
Sb 0.500 0.500 0.500
Mo 0.000 0.000 0.500
K 0.000 0.000 0.000

Total magnetic moment, μB per formula unit: 0.0
Final energy, eV for the cell shown: -24.129
Space-group type: P4/mmm (123)
Formation energy from raw total energies, eV/f.u.: 12.7

[3]
VASP calculation (GGA-PBE) on crystalline KHf2TiMo at its relaxed geometry.

a = 4.940 Å, b = 5.271 Å, c = 4.940 Å
α = 90.00°, β = 90.00°, γ = 90.00°
Site moments in Bohr magnetons follow the coordinates.
Fractional positions:
K 0.000 0.500 0.000  0.00
Mo 0.500 0.500 0.500  2.96
Ti 0.000 0.000 0.000  -0.06
Hf 0.000 0.000 0.500  -0.04
Hf 0.500 0.000 0.000  -0.11

Total magnetic moment, μB per formula unit: 3.3
Final energy, eV for the cell shown: -30.729
Space-group type: P4/mmm (123)
Energy of formation, eV/f.u.: 9.00

[4]
VASP calculation (GGA-PBE) on crystalline K2YHfMo at its relaxed geometry.

a = 5.918 Å, b = 4.953 Å, c = 5.918 Å
α = 90.00°, β = 90.00°, γ = 90.00°
Site moments in Bohr magnetons follow the coordinates.
Fractional positions:
Hf 0.500 0.500 0.500  0.03
K 0.000 0.000 0.500  -0.01
Y 0.000 0.000 0.000  -0.08
K 0.500 0.000 0.000  0.00
Mo 0.000 0.500 0.000  1.23

Total magnetic moment, μB per formula unit: 1.4
Final energy, eV for the cell shown: -19.129
Space-group type: P4/mmm (123)
Energy of formation, eV/f.u.: 10.31

[5]
VASP calculation (GGA-PBE) on crystalline K2HfZrMo at its relaxed geometry.

a = 5.847 Å, b = 4.924 Å, c = 5.847 Å
α = 90.00°, β = 90.00°, γ = 90.00°
Site moments in Bohr magnetons follow the coordinates.
Fractional positions:
Mo 0.000 0.000 0.000  0.83
K 0.500 0.000 0.000  0.03
Zr 0.500 0.500 0.500  0.88
Hf 0.000 0.500 0.000  -0.10
K 0.000 0.000 0.500  0.03

Total magnetic moment, μB per formula unit: 2.3
Final energy, eV for the cell shown: -22.041
Space-group type: P4/mmm (123)
Energy of formation, eV/f.u.: 9.49

[6]
VASP calculation (GGA-PBE) on crystalline KHfN2 at its relaxed geometry.

a = 6.002 Å, b = 6.002 Å, c = 6.279 Å
α = 61.45°, β = 61.45°, γ = 90.00°
Site moments in Bohr magnetons follow the coordinates.
Fractional positions:
Hf 0.000 0.000 0.000  -0.03
N 0.875 0.999 0.750  0.34
K 0.250 0.750 0.500  0.00
K 0.500 0.500 0.000  0.00
N 0.375 0.251 0.750  0.32
Hf 0.750 0.250 0.500  -0.03
N 0.749 0.125 0.250  0.36
N 0.001 0.625 0.250  0.38

Total magnetic moment, μB per formula unit: 1.0
Final energy, eV for the cell shown: -60.492
Space-group type: I-42d (122)
Formation energy from raw total energies, eV/f.u.: -2.5
Excess energy over the best structure of this formula in the dataset, eV per formula unit: 0.000

[7]
VASP calculation (GGA-PBE) on crystalline KHfN2 at its relaxed geometry.

a = 7.742 Å, b = 7.742 Å, c = 7.742 Å
α = 27.83°, β = 27.83°, γ = 27.83°
Site moments in Bohr magnetons follow the coordinates.
Fractional positions:
K 0.500 0.500 0.500  0.03
N 0.087 0.087 0.087  0.77
N 0.913 0.913 0.913  0.77
Hf 0.000 0.000 0.000  -0.12

Total magnetic moment, μB per formula unit: 1.8
Final energy, eV for the cell shown: -24.210
Space-group type: R-3m (166)
Formation energy from raw total energies, eV/f.u.: 3.5
Excess energy over the best structure of this formula in the dataset, eV per formula unit: 6.036

[8]
VASP calculation (GGA-PBE) on crystalline K2HfN at its relaxed geometry.

a = 12.344 Å, b = 12.344 Å, c = 8.968 Å
α = 46.51°, β = 46.51°, γ = 90.00°
Fractional positions:
Hf 0.000 0.000 0.000
Hf 0.750 0.250 0.500
K 0.875 0.699 0.750
N 0.500 0.500 0.000
K 0.449 0.125 0.250
K 0.375 0.551 0.750
K 0.301 0.625 0.250
N 0.250 0.750 0.500

Total magnetic moment, μB per formula unit: 0.0
Final energy, eV for the cell shown: -39.845
Space-group type: I-42d (122)
Formation energy from raw total energies, eV/f.u.: 0.6

[9]
VASP calculation (GGA-PBE) on crystalline KHfN2 at its relaxed geometry.

a = 7.364 Å, b = 7.364 Å, c = 7.364 Å
α = 26.33°, β = 26.33°, γ = 26.33°
Site moments in Bohr magnetons follow the coordinates.
Fractional positions:
N 0.882 0.882 0.882  0.10
K 0.000 0.000 0.000  0.00
Hf 0.500 0.500 0.500  -0.01
N 0.118 0.118 0.118  0.10

Total magnetic moment, μB per formula unit: 0.3
Final energy, eV for the cell shown: -29.766
Space-group type: R-3m (166)
Formation energy from raw total energies, eV/f.u.: -2.1
Excess energy over the best structure of this formula in the dataset, eV per formula unit: 0.480

[10]
VASP calculation (GGA-PBE) on crystalline K3HfN at its relaxed geometry.

a = 6.864 Å, b = 6.864 Å, c = 6.864 Å
α = 90.00°, β = 90.00°, γ = 90.00°
Site moments in Bohr magnetons follow the coordinates.
Fractional positions:
K 0.500 0.000 0.000  0.05
K 0.000 0.500 0.000  0.05
N 0.500 0.500 0.500  -1.58
K 0.000 0.000 0.500  0.05
Hf 0.000 0.000 0.000  1.69

Total magnetic moment, μB per formula unit: 2.0
Final energy, eV for the cell shown: -11.504
Space-group type: Pm-3m (221)
Formation energy from raw total energies, eV/f.u.: 10.1
Excess energy over the best structure of this formula in the dataset, eV per formula unit: 3.124

[11]
VASP calculation (GGA-PBE) on crystalline KHfN2 at its relaxed geometry.

a = 4.148 Å, b = 4.148 Å, c = 4.148 Å
α = 60.00°, β = 60.00°, γ = 60.00°
Fractional positions:
N 0.250 0.250 0.250
Hf 0.500 0.500 0.500
K 0.000 0.000 0.000
N 0.750 0.750 0.750

Total magnetic moment, μB per formula unit: 0.0
Final energy, eV for the cell shown: -25.551
Space-group type: Fm-3m (225)
Formation energy from raw total energies, eV/f.u.: 2.2
Excess energy over the best structure of this formula in the dataset, eV per formula unit: 4.695

[12]
VASP calculation (GGA-PBE) on crystalline K3HfN at its relaxed geometry.

a = 5.640 Å, b = 5.640 Å, c = 5.640 Å
α = 90.00°, β = 90.00°, γ = 90.00°
Site moments in Bohr magnetons follow the coordinates.
Fractional positions:
K 0.000 0.000 0.500  0.02
N 0.000 0.000 0.000  0.22
K 0.500 0.000 0.000  0.01
Hf 0.500 0.500 0.500  1.24
K 0.000 0.500 0.000  0.01

Total magnetic moment, μB per formula unit: 2.6
Final energy, eV for the cell shown: -14.629
Space-group type: Pm-3m (221)
Formation energy from raw total energies, eV/f.u.: 6.9
Excess energy over the best structure of this formula in the dataset, eV per formula unit: 0.000

[13]
VASP calculation (GGA-PBE) on crystalline KHfN at its relaxed geometry.

a = 6.946 Å, b = 7.845 Å, c = 3.329 Å
α = 90.00°, β = 90.00°, γ = 116.31°
Fractional positions:
Hf 0.102 0.203 0.250
K 0.349 0.698 0.250
K 0.651 0.302 0.750
N 0.821 0.642 0.250
N 0.179 0.358 0.750
Hf 0.898 0.797 0.750

Total magnetic moment, μB per formula unit: 0.0
Final energy, eV for the cell shown: -40.131
Space-group type: Cmcm (63)
Formation energy from raw total energies, eV/f.u.: -0.7

[14]
VASP calculation (GGA-PBE) on crystalline KHfNO2 at its relaxed geometry.

a = 4.093 Å, b = 4.093 Å, c = 4.165 Å
α = 90.00°, β = 90.00°, γ = 90.00°
Site moments in Bohr magnetons follow the coordinates.
Fractional positions:
N 0.000 0.000 0.500  0.00
O 0.500 0.000 0.000  0.14
O 0.000 0.500 0.000  0.14
Hf 0.500 0.500 0.500  -0.03
K 0.000 0.000 0.000  0.05

Total magnetic moment, μB per formula unit: 0.3
Final energy, eV for the cell shown: -24.289
Space-group type: P4/mmm (123)
Formation energy from raw total energies, eV/f.u.: 5.0

[15]
VASP calculation (GGA-PBE) on crystalline KHfNO2 at its relaxed geometry.

a = 4.159 Å, b = 4.159 Å, c = 4.424 Å
α = 90.00°, β = 90.00°, γ = 90.00°
Site moments in Bohr magnetons follow the coordinates.
Fractional positions:
K 0.500 0.500 0.500  0.01
O 0.500 0.000 0.000  0.22
O 0.000 0.500 0.000  0.22
Hf 0.000 0.000 0.000  -0.09
N 0.000 0.000 0.500  1.01

Total magnetic moment, μB per formula unit: 2.0
Final energy, eV for the cell shown: -37.380
Space-group type: P4/mmm (123)
Formation energy from raw total energies, eV/f.u.: -8.1

[16]
VASP calculation (GGA-PBE) on crystalline K3HfPa2N6 at its relaxed geometry.

a = 6.059 Å, b = 6.059 Å, c = 6.749 Å
α = 98.59°, β = 98.59°, γ = 120.02°
Fractional positions:
K 0.163 0.837 0.500
K 0.500 0.500 0.500
N 0.945 0.618 0.835
K 0.837 0.163 0.500
Pa 0.333 0.667 0.000
Pa 0.667 0.333 0.000
N 0.727 0.727 0.164
N 0.273 0.273 0.836
N 0.055 0.382 0.165
Hf 0.000 0.000 0.000
N 0.382 0.055 0.165
N 0.618 0.945 0.835

Total magnetic moment, μB per formula unit: 0.0
Final energy, eV for the cell shown: -94.809
Space-group type: C2/m (12)
Formation energy from raw total energies, eV/f.u.: -12.6

[17]
VASP calculation (GGA-PBE) on crystalline KHf2ScN at its relaxed geometry.

a = 4.979 Å, b = 4.521 Å, c = 4.979 Å
α = 90.00°, β = 90.00°, γ = 90.00°
Fractional positions:
Sc 0.500 0.500 0.500
N 0.000 0.500 0.000
Hf 0.000 0.000 0.500
K 0.000 0.000 0.000
Hf 0.500 0.000 0.000

Total magnetic moment, μB per formula unit: 0.1
Final energy, eV for the cell shown: -24.364
Space-group type: P4/mmm (123)
Formation energy from raw total energies, eV/f.u.: 11.3

[18]
VASP calculation (GGA-PBE) on crystalline KHfSe2N at its relaxed geometry.

a = 5.402 Å, b = 5.402 Å, c = 4.109 Å
α = 90.00°, β = 90.00°, γ = 90.00°
Site moments in Bohr magnetons follow the coordinates.
Fractional positions:
K 0.000 0.000 0.000  0.06
N 0.000 0.000 0.500  0.96
Hf 0.500 0.500 0.500  -0.56
Se 0.000 0.500 0.000  0.20
Se 0.500 0.000 0.000  0.20

Total magnetic moment, μB per formula unit: 1.1
Final energy, eV for the cell shown: -18.743
Space-group type: P4/mmm (123)
Formation energy from raw total energies, eV/f.u.: 7.6
Excess energy over the best structure of this formula in the dataset, eV per formula unit: 10.883

[19]
VASP calculation (GGA-PBE) on crystalline KHfSeN2 at its relaxed geometry.

a = 4.379 Å, b = 4.379 Å, c = 5.302 Å
α = 90.00°, β = 90.00°, γ = 90.00°
Site moments in Bohr magnetons follow the coordinates.
Fractional positions:
N 0.500 0.000 0.000  0.89
N 0.000 0.500 0.000  0.89
Se 0.000 0.000 0.500  0.31
Hf 0.000 0.000 0.000  -0.11
K 0.500 0.500 0.500  0.01

Total magnetic moment, μB per formula unit: 3.0
Final energy, eV for the cell shown: -31.932
Space-group type: P4/mmm (123)
Formation energy from raw total energies, eV/f.u.: -0.7
Excess energy over the best structure of this formula in the dataset, eV per formula unit: 0.000

[20]
VASP calculation (GGA-PBE) on crystalline KHfSe2N at its relaxed geometry.

a = 5.340 Å, b = 5.340 Å, c = 4.249 Å
α = 90.00°, β = 90.00°, γ = 90.00°
Site moments in Bohr magnetons follow the coordinates.
Fractional positions:
N 0.000 0.000 0.500  0.79
K 0.500 0.500 0.500  0.00
Hf 0.000 0.000 0.000  -0.06
Se 0.000 0.500 0.000  0.21
Se 0.500 0.000 0.000  0.21

Total magnetic moment, μB per formula unit: 1.7
Final energy, eV for the cell shown: -29.626
Space-group type: P4/mmm (123)
Formation energy from raw total energies, eV/f.u.: -3.3
Excess energy over the best structure of this formula in the dataset, eV per formula unit: 0.000